Computed, not measured: crystalline Zr3Si6Ni20 at its relaxed geometry at the PBE level of DFT.

## Properties
As for the space group: Fm-3m, No. 225.

Cell: 7.989 7.989 7.989 Å, 60.00 60.00 60.00°
Fractional coordinates of all 29 atoms:
Zr: 0.000 0.000 0.000
Zr: 0.250 0.250 0.250
Zr: 0.750 0.750 0.750
Si: 0.266 0.266 0.734
Si: 0.266 0.734 0.266
Si: 0.266 0.734 0.734
Si: 0.734 0.266 0.266
Si: 0.734 0.266 0.734
Si: 0.734 0.734 0.266
Ni: 0.000 0.000 0.352
Ni: 0.000 0.000 0.648
Ni: 0.000 0.352 0.000
Ni: 0.000 0.352 0.648
Ni: 0.000 0.648 0.000
Ni: 0.000 0.648 0.352
Ni: 0.147 0.618 0.618
Ni: 0.352 0.000 0.000
Ni: 0.352 0.000 0.648
Ni: 0.352 0.648 0.000
Ni: 0.382 0.382 0.382
Ni: 0.382 0.382 0.853
Ni: 0.382 0.853 0.382
Ni: 0.618 0.147 0.618
Ni: 0.618 0.618 0.147
Ni: 0.618 0.618 0.618
Ni: 0.648 0.000 0.000
Ni: 0.648 0.000 0.352
Ni: 0.648 0.352 0.000
Ni: 0.853 0.382 0.382

=====

Computed, not measured: crystalline ZrSi2Ni at its relaxed geometry at the PBE level of DFT.

## Properties
As for the space group: I-4m2, No. 119.

Cell: 5.040 5.040 5.040 Å, 136.58 136.58 63.09°
Fractional coordinates of all 4 atoms:
Zr: 0.000 0.000 0.000
Si: 0.500 0.500 0.000
Si: 0.750 0.250 0.500
Ni: 0.250 0.750 0.500

=====

Computed, not measured: crystalline ZrSiNi3 at its relaxed geometry at the PBE level of DFT.

## Properties
As for the space group: Pm-3m, No. 221. The relative energy among the computed polymorphs is 0.410 eV per atom.

Cell: 4.217 4.217 4.217 Å, 90.00 90.00 90.00°
Fractional coordinates of all 5 atoms:
Zr: 0.000 0.000 0.000
Si: 0.500 0.500 0.500
Ni: 0.000 0.500 0.500
Ni: 0.500 0.000 0.500
Ni: 0.500 0.500 0.000

=====

Computed, not measured: crystalline ZrSiNi2 at its relaxed geometry at the PBE level of DFT.

## Properties
As for the space group: R-3m, No. 166.

Cell: 8.146 8.146 8.146 Å, 20.49 20.49 20.49°
Fractional coordinates of all 4 atoms:
Zr: 0.000 0.000 0.000
Si: 0.500 0.500 0.500
Ni: 0.237 0.237 0.237
Ni: 0.763 0.763 0.763

=====

Computed, not measured: crystalline ZrSi2Ni4 at its relaxed geometry at the PBE level of DFT.

## Properties
As for the space group: P4_2/mnm, No. 136.

Cell: 6.982 6.982 3.677 Å, 90.00 90.00 90.00°
Fractional coordinates of all 14 atoms:
Zr: 0.000 0.000 0.000
Zr: 0.500 0.500 0.500
Si: 0.219 0.219 0.500
Si: 0.281 0.719 0.000
Si: 0.719 0.281 0.000
Si: 0.781 0.781 0.500
Ni: 0.089 0.658 0.500
Ni: 0.158 0.411 0.000
Ni: 0.342 0.911 0.500
Ni: 0.411 0.158 0.000
Ni: 0.589 0.842 0.000
Ni: 0.658 0.089 0.500
Ni: 0.842 0.589 0.000
Ni: 0.911 0.342 0.500

=====

Computed, not measured: crystalline ZrSiNi3 at its relaxed geometry at the PBE level of DFT.

## Properties
As for the space group: Pm-3m, No. 221. The relative energy among the computed polymorphs is 1.817 eV per atom.

Cell: 4.597 4.597 4.597 Å, 90.00 90.00 90.00°
Fractional coordinates of all 5 atoms:
Zr: 0.000 0.000 0.000
Si: 0.500 0.500 0.500
Ni: 0.000 0.000 0.500
Ni: 0.000 0.500 0.000
Ni: 0.500 0.000 0.000

=====

Computed, not measured: crystalline ZrSiNi3 at its relaxed geometry at the PBE level of DFT.

## Properties
As for the space group: Imma, No. 74. The relative energy among the computed polymorphs is 0.000 eV per atom.

Cell: 5.883 5.883 5.883 Å, 131.82 109.25 90.21°
Fractional coordinates of all 10 atoms:
Zr: 0.256 0.006 0.250
Zr: 0.744 0.994 0.750
Si: 0.000 0.500 0.500
Si: 0.500 0.500 0.000
Ni: 0.192 0.000 0.692
Ni: 0.192 0.500 0.192
Ni: 0.426 0.676 0.750
Ni: 0.574 0.324 0.250
Ni: 0.808 0.000 0.308
Ni: 0.808 0.500 0.808

=====

Computed, not measured: crystalline ZrSiNi at its relaxed geometry at the PBE level of DFT.

## Properties
As for the space group: Pnma, No. 62.

Cell: 5.984 3.990 7.810 Å, 90.00 90.00 90.00°
Fractional coordinates of all 12 atoms:
Zr: 0.167 0.250 0.088
Zr: 0.333 0.750 0.588
Zr: 0.667 0.250 0.412
Zr: 0.833 0.750 0.912
Si: 0.030 0.250 0.717
Si: 0.470 0.750 0.217
Si: 0.530 0.250 0.783
Si: 0.970 0.750 0.283
Ni: 0.118 0.250 0.425
Ni: 0.382 0.750 0.925
Ni: 0.618 0.250 0.075
Ni: 0.882 0.750 0.575

=====

Computed, not measured: crystalline Zr3Si3Ni at its relaxed geometry at the PBE level of DFT.

## Properties
As for the space group: C2/m, No. 12.

Cell: 5.317 5.317 12.983 Å, 108.69 108.69 42.68°
Fractional coordinates of all 14 atoms:
Zr: 0.021 0.021 0.378
Zr: 0.107 0.107 0.921
Zr: 0.247 0.247 0.227
Zr: 0.753 0.753 0.773
Zr: 0.893 0.893 0.079
Zr: 0.979 0.979 0.622
Si: 0.363 0.363 0.456
Si: 0.386 0.386 0.924
Si: 0.465 0.465 0.765
Si: 0.535 0.535 0.235
Si: 0.614 0.614 0.076
Si: 0.637 0.637 0.544
Ni: 0.261 0.261 0.602
Ni: 0.739 0.739 0.398

=====

Computed, not measured: crystalline ZrSi2Ni at its relaxed geometry at the PBE level of DFT.

## Properties
As for the space group: Pmm2, No. 25.

Cell: 3.001 4.182 4.868 Å, 90.00 90.00 90.00°
Fractional coordinates of all 4 atoms:
Zr: 0.000 0.000 0.000
Si: 0.500 0.000 0.509
Si: 0.500 0.500 0.235
Ni: 0.500 0.500 0.732

=====

Computed, not measured: crystalline Zr2Si5Ni3 at its relaxed geometry at the PBE level of DFT.

## Properties
As for the space group: Ibam, No. 72.

Cell: 7.690 7.690 7.690 Å, 103.06 91.70 138.11°
Fractional coordinates of all 20 atoms:
Zr: 0.131 0.235 0.365
Zr: 0.369 0.735 0.104
Zr: 0.631 0.265 0.896
Zr: 0.869 0.765 0.635
Si: 0.020 0.750 0.270
Si: 0.107 0.658 0.765
Si: 0.250 0.250 0.000
Si: 0.393 0.158 0.551
Si: 0.480 0.750 0.730
Si: 0.520 0.250 0.270
Si: 0.607 0.842 0.449
Si: 0.750 0.750 0.000
Si: 0.893 0.342 0.235
Si: 0.980 0.250 0.730
Ni: 0.136 0.885 0.021
Ni: 0.250 0.750 0.500
Ni: 0.364 0.385 0.749
Ni: 0.636 0.615 0.251
Ni: 0.750 0.250 0.500
Ni: 0.864 0.115 0.979

=====

Computed, not measured: crystalline ZrSiNi2 at its relaxed geometry at the PBE level of DFT.

## Properties
As for the space group: P4/mmm, No. 123.

Cell: 3.923 3.923 3.682 Å, 90.00 90.00 90.00°
Fractional coordinates of all 4 atoms:
Zr: 0.000 0.000 0.000
Si: 0.500 0.500 0.000
Ni: 0.000 0.500 0.500
Ni: 0.500 0.000 0.500

=====

Computed, not measured: crystalline ZrSiNi at its relaxed geometry at the PBE level of DFT.

## Properties
As for the space group: C2/m, No. 12.

Cell: 5.392 5.392 5.082 Å, 105.68 105.68 41.88°
Fractional coordinates of all 6 atoms:
Zr: 0.119 0.119 0.295
Zr: 0.881 0.881 0.705
Si: 0.408 0.408 0.252
Si: 0.592 0.592 0.748
Ni: 0.209 0.209 0.836
Ni: 0.791 0.791 0.164

=====

Computed, not measured: crystalline ZrSiNi at its relaxed geometry at the PBE level of DFT.

## Properties
As for the space group: Pnma, No. 62.

Cell: 6.497 3.813 7.319 Å, 90.00 90.00 90.00°
Fractional coordinates of all 12 atoms:
Zr: 0.017 0.250 0.186
Zr: 0.483 0.750 0.686
Zr: 0.517 0.250 0.314
Zr: 0.983 0.750 0.814
Si: 0.226 0.750 0.387
Si: 0.274 0.250 0.887
Si: 0.726 0.750 0.113
Si: 0.774 0.250 0.613
Ni: 0.140 0.250 0.561
Ni: 0.360 0.750 0.061
Ni: 0.640 0.250 0.939
Ni: 0.860 0.750 0.439

=====

Computed, not measured: crystalline ZrSiNi2 at its relaxed geometry at the PBE level of DFT.

## Properties
As for the space group: Pnma, No. 62.

Cell: 13.903 6.360 5.055 Å, 90.00 90.00 90.00°
Fractional coordinates of all 32 atoms:
Zr: 0.105 0.250 0.235
Zr: 0.143 0.750 0.497
Zr: 0.357 0.250 0.997
Zr: 0.395 0.750 0.735
Zr: 0.605 0.250 0.265
Zr: 0.643 0.750 0.003
Zr: 0.857 0.250 0.503
Zr: 0.895 0.750 0.765
Si: 0.072 0.750 0.000
Si: 0.181 0.250 0.724
Si: 0.319 0.750 0.224
Si: 0.428 0.250 0.500
Si: 0.572 0.750 0.500
Si: 0.681 0.250 0.776
Si: 0.819 0.750 0.276
Si: 0.928 0.250 0.000
Ni: 0.035 0.052 0.739
Ni: 0.035 0.448 0.739
Ni: 0.214 0.553 0.963
Ni: 0.214 0.947 0.963
Ni: 0.286 0.053 0.463
Ni: 0.286 0.447 0.463
Ni: 0.465 0.552 0.239
Ni: 0.465 0.948 0.239
Ni: 0.535 0.052 0.761
Ni: 0.535 0.448 0.761
Ni: 0.714 0.553 0.537
Ni: 0.714 0.947 0.537
Ni: 0.786 0.053 0.037
Ni: 0.786 0.447 0.037
Ni: 0.965 0.552 0.261
Ni: 0.965 0.948 0.261

=====

Computed, not measured: crystalline Zr2Si7Ni3 at its relaxed geometry at the PBE level of DFT.

## Properties
As for the space group: I4mm, No. 107.

Cell: 11.958 11.958 11.958 Å, 161.20 161.20 26.72°
Fractional coordinates of all 12 atoms:
Zr: 0.000 0.000 0.000
Zr: 0.292 0.292 0.000
Si: 0.094 0.594 0.500
Si: 0.195 0.695 0.500
Si: 0.437 0.437 0.000
Si: 0.536 0.536 0.000
Si: 0.594 0.094 0.500
Si: 0.695 0.195 0.500
Si: 0.838 0.838 0.000
Ni: 0.390 0.890 0.500
Ni: 0.741 0.741 0.000
Ni: 0.890 0.390 0.500

=====

Computed, not measured: crystalline ZrSi2Ni2 at its relaxed geometry at the PBE level of DFT.

## Properties
As for the space group: I4/mmm, No. 139.

Cell: 5.548 5.548 5.548 Å, 140.23 140.23 57.51°
Fractional coordinates of all 5 atoms:
Zr: 0.000 0.000 0.000
Si: 0.380 0.380 0.000
Si: 0.620 0.620 0.000
Ni: 0.250 0.750 0.500
Ni: 0.750 0.250 0.500

=====

Computed, not measured: crystalline ZrSi2Ni at its relaxed geometry at the PBE level of DFT.

## Properties
As for the space group: Pmmm, No. 47.

Cell: 2.961 3.061 6.416 Å, 90.00 90.00 90.00°
Fractional coordinates of all 4 atoms:
Zr: 0.000 0.000 0.000
Si: 0.500 0.500 0.303
Si: 0.500 0.500 0.697
Ni: 0.000 0.000 0.500

=====

Computed, not measured: crystalline Zr2Si2Ni at its relaxed geometry at the PBE level of DFT.

## Properties
As for the space group: P4/mbm, No. 127.

Cell: 6.294 6.294 4.118 Å, 90.00 90.00 90.00°
Fractional coordinates of all 10 atoms:
Zr: 0.173 0.327 0.000
Zr: 0.327 0.827 0.000
Zr: 0.673 0.173 0.000
Zr: 0.827 0.673 0.000
Si: 0.134 0.634 0.500
Si: 0.366 0.134 0.500
Si: 0.634 0.866 0.500
Si: 0.866 0.366 0.500
Ni: 0.000 0.000 0.500
Ni: 0.500 0.500 0.500

=====

Computed, not measured: crystalline ZrSiNi at its relaxed geometry at the PBE level of DFT.

## Properties
As for the space group: P3m1, No. 156.

Cell: 2.938 2.938 6.343 Å, 90.00 90.00 120.00°
Fractional coordinates of all 3 atoms:
Zr: 0.000 0.000 0.000
Si: 0.333 0.667 0.628
Ni: 0.667 0.333 0.369

=====

no.,total magnetic moment (μB/cell),E_tot (eV/atom)
1,0.00,-6.503
2,0.00,-6.721
3,0.00,-6.338
4,0.00,-6.468
5,0.00,-6.747
6,0.00,-4.931
7,0.00,-6.748
8,0.00,-7.165
9,0.00,-7.743
10,0.00,-6.710
11,0.00,-6.828
12,0.00,-6.799
13,0.00,-7.243
14,0.00,-7.494
15,0.00,-7.112
16,0.00,-6.450
17,0.00,-7.014
18,0.00,-6.684
19,0.00,-7.556
20,0.00,-6.681